VASP calculation (GGA-PBE) on a relaxed structure of ScAlCu2.

The structure in CIF format:
```
data_ScAlCu2
_chemical_formula_sum 'Sc1 Al1 Cu2'
_cell_length_a 4.672
_cell_length_b 4.672
_cell_length_c 4.523
_cell_angle_alpha 71.69
_cell_angle_beta 71.69
_cell_angle_gamma 42.67
_symmetry_space_group_name_H-M 'P 1'
_symmetry_Int_Tables_number 1
_symmetry_space_group_name_Hall 'P 1'
loop_
_atom_site_label
_atom_site_fract_x
_atom_site_fract_y
_atom_site_fract_z
_atom_site_occupancy
Sc1 0.497 0.497 0.520 1
Al1 0.267 0.267 0.185 1
Cu1 0.999 0.999 0.023 1
Cu2 0.738 0.738 0.772 1
```

Properties
ΔE_f   -0.776 eV/f.u.

VASP calculation (GGA-PBE) on a relaxed structure of Mg6CdGa.

The structure in CIF format:
```
data_Mg6CdGa
_chemical_formula_sum 'Mg6 Cd1 Ga1'
_cell_length_a 6.249
_cell_length_b 6.249
_cell_length_c 5.007
_cell_angle_alpha 90.00
_cell_angle_beta 90.00
_cell_angle_gamma 118.41
_symmetry_space_group_name_H-M 'P 1'
_symmetry_Int_Tables_number 1
_symmetry_space_group_name_Hall 'P 1'
loop_
_atom_site_label
_atom_site_fract_x
_atom_site_fract_y
_atom_site_fract_z
_atom_site_occupancy
Mg1 0.665 0.835 0.500 1
Mg2 0.165 0.335 0.500 1
Mg3 0.832 0.661 0.000 1
Mg4 0.339 0.168 0.000 1
Mg5 0.333 0.667 0.000 1
Mg6 0.832 0.168 0.000 1
Cd1 0.166 0.834 0.500 1
Ga1 0.667 0.333 0.500 1
```

Properties
Offset from the most stable computed form   24 meV per atom
ΔE_f   -0.423 eV/f.u.

VASP calculation (GGA-PBE) on a relaxed structure of YHf2Mn.

The structure in CIF format:
```
data_YHf2Mn
_chemical_formula_sum 'Y2 Hf4 Mn2'
_cell_length_a 5.112
_cell_length_b 5.112
_cell_length_c 9.656
_cell_angle_alpha 74.65
_cell_angle_beta 74.65
_cell_angle_gamma 90.00
_symmetry_space_group_name_H-M 'P 1'
_symmetry_Int_Tables_number 1
_symmetry_space_group_name_Hall 'P 1'
loop_
_atom_site_label
_atom_site_fract_x
_atom_site_fract_y
_atom_site_fract_z
_atom_site_occupancy
Y1 0.000 0.000 0.000 1
Y2 0.750 0.250 0.500 1
Mn1 0.500 0.500 0.000 1
Mn2 0.250 0.750 0.500 1
Hf1 0.375 0.125 0.250 1
Hf2 0.375 0.625 0.250 1
Hf3 0.375 0.625 0.750 1
Hf4 0.875 0.625 0.750 1
```

Properties
Offset from the most stable computed form   1129 meV per atom
ΔE_f   4.705 eV/f.u.

VASP calculation (GGA-PBE) on a relaxed structure of Pm3Sm8Dy2.

The structure in CIF format:
```
data_Pm3Sm8Dy2
_chemical_formula_sum 'Pm3 Sm8 Dy2'
_cell_length_a 6.211
_cell_length_b 8.841
_cell_length_c 8.841
_cell_angle_alpha 83.67
_cell_angle_beta 72.56
_cell_angle_gamma 72.56
_symmetry_space_group_name_H-M 'P 1'
_symmetry_Int_Tables_number 1
_symmetry_space_group_name_Hall 'P 1'
loop_
_atom_site_label
_atom_site_fract_x
_atom_site_fract_y
_atom_site_fract_z
_atom_site_occupancy
Pm1 0.500 0.000 0.000 1
Pm2 0.000 0.243 0.757 1
Pm3 0.000 0.757 0.243 1
Sm1 0.218 0.554 0.554 1
Sm2 0.782 0.446 0.446 1
Sm3 0.949 0.156 0.156 1
Sm4 0.051 0.844 0.844 1
Sm5 0.673 0.571 0.084 1
Sm6 0.673 0.084 0.571 1
Sm7 0.327 0.916 0.429 1
Sm8 0.327 0.429 0.916 1
Dy1 0.353 0.288 0.288 1
Dy2 0.647 0.712 0.712 1
```

Properties
Offset from the most stable computed form   0 meV per atom
ΔE_f   2.082 eV/f.u.

VASP calculation (GGA-PBE) on a relaxed structure of LiCe2V.

The structure in CIF format:
```
data_LiCe2V
_chemical_formula_sum 'Li1 Ce2 V1'
_cell_length_a 2.927
_cell_length_b 2.927
_cell_length_c 11.490
_cell_angle_alpha 82.68
_cell_angle_beta 82.68
_cell_angle_gamma 60.00
_symmetry_space_group_name_H-M 'P 1'
_symmetry_Int_Tables_number 1
_symmetry_space_group_name_Hall 'P 1'
loop_
_atom_site_label
_atom_site_fract_x
_atom_site_fract_y
_atom_site_fract_z
_atom_site_occupancy
Li1 0.000 0.000 0.000 1
Ce1 0.091 0.091 0.728 1
Ce2 0.909 0.909 0.272 1
V1 0.500 0.500 0.500 1
```

Properties
ΔE_f   1.420 eV/f.u.

VASP calculation (GGA-PBE) on a relaxed structure of RbLa2CuTe4.

The structure in CIF format:
```
data_RbLa2CuTe4
_chemical_formula_sum 'Rb2 La4 Cu2 Te8'
_cell_length_a 4.569
_cell_length_b 8.278
_cell_length_c 15.828
_cell_angle_alpha 90.00
_cell_angle_beta 90.00
_cell_angle_gamma 106.02
_symmetry_space_group_name_H-M 'P 1'
_symmetry_Int_Tables_number 1
_symmetry_space_group_name_Hall 'P 1'
loop_
_atom_site_label
_atom_site_fract_x
_atom_site_fract_y
_atom_site_fract_z
_atom_site_occupancy
Rb1 0.107 0.214 0.750 1
Rb2 0.893 0.786 0.250 1
La1 0.365 0.729 0.562 1
La2 0.635 0.271 0.062 1
La3 0.635 0.271 0.438 1
La4 0.365 0.729 0.938 1
Cu1 0.839 0.679 0.750 1
Cu2 0.161 0.321 0.250 1
Te1 0.264 0.529 0.117 1
Te2 0.736 0.471 0.617 1
Te3 0.736 0.471 0.883 1
Te4 0.264 0.529 0.383 1
Te5 0.000 0.000 0.500 1
Te6 0.000 0.000 0.000 1
Te7 0.429 0.858 0.750 1
Te8 0.571 0.142 0.250 1
```

Properties
Formation energy (no corrections)   -1.261 eV/atom

Sequential VASP energy output: -4.761, -1.742, -7.709, -4.548, -5.370, -4.697 eV/atom
Sequential size of the total moment output: 0.00, 0.00, 4.75, 0.00, 0.00, 0.00 μB per cell